DFT (PBE) results for a relaxed structure of Tm5Mg2Cd.

Values from the calculation:
- SG = No. 140
- formation energy (meV/atom) = 26

Cell lengths 7.739, 7.739, 9.299 Å; angles 114.59, 114.59, 90.00 degrees
Atoms (fractional coordinates):
Tm 0.999 0.499 0.319
Mg 0.630 0.130 0.000
Tm 0.000 0.000 0.000
Mg 0.870 0.630 0.000
Tm 0.499 0.320 0.319
Mg 0.130 0.370 0.000
Tm 0.320 0.820 0.319
Tm 0.001 0.501 0.681
Cd 0.750 0.750 0.500
Tm 0.180 0.001 0.681
Tm 0.820 0.999 0.319
Mg 0.370 0.870 0.000
Cd 0.250 0.250 0.500
Tm 0.501 0.680 0.681
Tm 0.680 0.180 0.681
Tm 0.500 0.500 0.000

***

DFT (PBE) results for a relaxed structure of MgTcHg2.

Values from the calculation:
- SG = No. 216
- formation energy (meV/atom) = 520

Cell lengths 4.732, 4.732, 4.732 Å; angles 60.00, 60.00, 60.00 degrees
Last column: magnetic moment on the atom in μB.
Atoms (fractional coordinates):
Hg 0.000 0.000 0.000  -0.01
Tc 0.250 0.250 0.250  0.35
Hg 0.750 0.750 0.750  -0.01
Mg 0.500 0.500 0.500  -0.01